The following is a DFT calculation (PBE with a Hubbard U) of an optimized crystal structure of LaWF3.

Output
DOS(E_F) = 5.13 states/eV/cell
Volume = 18.89 Å³/atom
E = -5.07 eV/atom
Spin magnetization = 5.0 μB per formula unit
Energy above the most stable polymorph in this dataset = 3.28 eV per formula unit

Unit cell a=4.5537 b=4.5537 c=4.5537 alpha=90.00 beta=90.00 gamma=90.00
With the nearest neighbours (Å) after each atom.
Positions (direct):
La1 0.0000 0.0000 0.0000  12 F 3.22
W1 0.5000 0.5000 0.5000  6 F 2.28
F1 0.0000 0.5000 0.5000  2 W 2.28
F2 0.5000 0.0000 0.5000  2 W 2.28
F3 0.5000 0.5000 0.0000  2 W 2.28